VASP calculation (meta-GGA SCAN) on Tl2SiTe at its PBEsol-relaxed geometry.

a b c (Å): 5.269 5.269 5.269
angles (deg): 60.00 60.00 60.00
Atoms (fractional coordinates):
1 Si 0.500 0.500 0.500
2 Te 0.250 0.250 0.250
3 Tl 0.000 0.000 0.000
4 Tl 0.750 0.750 0.750

Summary:
formation energy without anion corrections	0.43	eV/atom
distance to the lowest polymorph of the same formula	0	meV per atom
magnetization	0.00	μB/atom
E	-47.5626	eV/atom